# 1
The following is a GGA-PBE calculation of an optimized crystal structure of TbLuBeCo, from Alexandria.

Unit cell a=4.7178 b=4.7178 c=4.7178 alpha=60.00 beta=60.00 gamma=60.00
Last column: nearest neighbours and their distance in Å.
Fractional coordinates of all 4 atoms:
Tb1 0.0000 0.0000 0.0000  4 Co 2.89, 4 Be 2.89
Lu1 0.5000 0.5000 0.5000  4 Co 2.89, 4 Be 2.89
Be1 0.7500 0.7500 0.7500  4 Lu 2.89, 4 Tb 2.89
Co1 0.2500 0.2500 0.2500  4 Tb 2.89, 4 Lu 2.89

Computed properties:
The calculated density is 9.0 g cm⁻³. As for the space group: F-43m (216). The calculation puts the formation energy at -0.06 eV/atom. The value obtained for the total energy is -5.05 eV per atom.

=====

# 2
The following is a GGA-PBE calculation of an optimized crystal structure of GeSb2S, from Alexandria.

Unit cell a=5.0026 b=5.0026 c=5.0026 alpha=60.00 beta=60.00 gamma=60.00
Last column: nearest neighbours and their distance in Å.
Fractional coordinates of all 4 atoms:
Ge1 0.0000 0.0000 0.0000  8 Sb 3.06
Sb1 0.2500 0.2500 0.2500  4 S 3.06, 4 Ge 3.06
Sb2 0.7500 0.7500 0.7500  4 S 3.06, 4 Ge 3.06
S1 0.5000 0.5000 0.5000  8 Sb 3.06

Computed properties:
The calculated density is 6.5 g cm⁻³. As for the space group: Fm-3m (225). Its energy above the most stable polymorph in this dataset is 0.0 kJ per mole of atoms. The calculation puts the uncorrected formation energy at 108.2 kJ/mol of formula units. The value obtained for the total energy is -3.97 eV per atom.

=====

# 3
The following is a GGA-PBE calculation of an optimized crystal structure of NaCu2PdF8, from Alexandria.

Unit cell a=6.5910 b=6.5910 c=6.5910 alpha=132.86 beta=132.86 gamma=68.87
Last column: nearest neighbours and their distance in Å.
Fractional coordinates of all 12 atoms:
Na1 0.0000 0.0000 0.0000  8 F 2.35-2.48
Cu1 0.5000 0.5000 0.0000  4 F 1.92
Cu2 0.7500 0.2500 0.5000  4 F 1.90
Pd1 0.2500 0.7500 0.5000  8 F 2.21-2.31
F1 0.0168 0.0628 0.4270  1 Cu 1.90
F2 0.2455 0.6792 0.1013  1 Cu 1.92
F3 0.3208 0.4221 0.5663  1 Cu 1.92
F4 0.4102 0.9832 0.0460  1 Cu 1.90
F5 0.5779 0.1442 0.8987  1 Cu 1.92
F6 0.6357 0.5898 0.5730  1 Cu 1.90
F7 0.8558 0.7545 0.4337  1 Cu 1.92
F8 0.9372 0.3643 0.9540  1 Cu 1.90

Computed properties:
The calculated density is 4.5 g cm⁻³. As for the space group: I-4 (82). The calculation puts the uncorrected formation energy at -1719.1 kJ/mol of formula units. The value obtained for the total energy is -3.96 eV per atom.

=====

# 4
The following is a GGA-PBE calculation of an optimized crystal structure of GaNi, from Alexandria.

Unit cell a=6.5530 b=6.5530 c=6.5530 alpha=90.00 beta=90.00 gamma=90.00
Last column: nearest neighbours and their distance in Å.
Fractional coordinates of all 12 atoms:
Ga1 0.0000 0.2500 0.5000  4 Ni 2.32
Ga2 0.0000 0.7500 0.5000  4 Ni 2.32
Ga3 0.2500 0.5000 0.0000  4 Ni 2.32
Ga4 0.5000 0.0000 0.2500  4 Ni 2.32
Ga5 0.5000 0.0000 0.7500  4 Ni 2.32
Ga6 0.7500 0.5000 0.0000  4 Ni 2.32
Ni1 0.0000 0.5000 0.2500  4 Ga 2.32
Ni2 0.0000 0.5000 0.7500  4 Ga 2.32
Ni3 0.2500 0.0000 0.5000  4 Ga 2.32
Ni4 0.5000 0.2500 0.0000  4 Ga 2.32
Ni5 0.5000 0.7500 0.0000  4 Ga 2.32
Ni6 0.7500 0.0000 0.5000  4 Ga 2.32

Computed properties:
The calculated density is 4.5 g cm⁻³. As for the space group: Pm-3n (223). The calculation puts the formation energy at 0.46 eV/atom. The value obtained for the total energy is -3.94 eV per atom.

=====

# 5
The following is a GGA-PBE calculation of an optimized crystal structure of ScMo, from Alexandria.

Unit cell a=5.5279 b=5.5279 c=5.4704 alpha=90.00 beta=90.00 gamma=90.00
Last column: nearest neighbours and their distance in Å.
Fractional coordinates of all 8 atoms:
Sc1 0.1850 0.1850 0.0000  4 Mo 2.74-2.75, 1 Sc 2.89
Sc2 0.3150 0.6850 0.5000  4 Mo 2.74-2.75, 1 Sc 2.89
Sc3 0.6850 0.3150 0.5000  4 Mo 2.74-2.75, 1 Sc 2.89
Sc4 0.8150 0.8150 0.0000  4 Mo 2.74-2.75, 1 Sc 2.89
Mo1 0.1537 0.1537 0.5000  1 Mo 2.40
Mo2 0.3463 0.6537 0.0000  1 Mo 2.40
Mo3 0.6537 0.3463 0.0000  1 Mo 2.40
Mo4 0.8463 0.8463 0.5000  1 Mo 2.40

Computed properties:
The calculated density is 5.6 g cm⁻³. As for the space group: P4_2/mnm (136). Its energy above the most stable polymorph in this dataset is 86.4 kJ per mole of atoms. The calculation puts the formation energy at 0.87 eV/atom. The value obtained for the total energy is -7.71 eV per atom.

=====

# 6
The following is a GGA-PBE calculation of an optimized crystal structure of Rb2NaBiCl6, from Alexandria.

Unit cell a=7.5759 b=7.8321 c=13.1907 alpha=90.00 beta=124.88 gamma=90.00
Last column: nearest neighbours and their distance in Å.
Fractional coordinates of all 20 atoms:
Rb1 0.2336 0.0590 0.2496  6 Cl 3.34-3.60
Rb2 0.2336 0.4410 0.7496  6 Cl 3.34-3.60
Rb3 0.7664 0.5590 0.2504  6 Cl 3.34-3.60
Rb4 0.7664 0.9410 0.7504  6 Cl 3.34-3.60
Na1 0.0000 0.0000 0.5000  6 Cl 2.83-2.87
Na2 0.0000 0.5000 0.0000  6 Cl 2.83-2.87
Bi1 0.5000 0.0000 0.0000  6 Cl 2.73-2.74
Bi2 0.5000 0.5000 0.5000  6 Cl 2.73-2.74
Cl1 0.1673 0.1996 0.9578  1 Bi 2.74, 1 Na 2.87
Cl2 0.1673 0.3004 0.4578  1 Bi 2.74, 1 Na 2.87
Cl3 0.2607 0.7124 0.9575  1 Bi 2.74, 1 Na 2.87
Cl4 0.2607 0.7876 0.4575  1 Bi 2.74, 1 Na 2.87
Cl5 0.3364 0.0202 0.7543  1 Bi 2.73, 1 Na 2.83
Cl6 0.3364 0.4798 0.2543  1 Bi 2.73, 1 Na 2.83
Cl7 0.6636 0.5202 0.7457  1 Bi 2.73, 1 Na 2.83
Cl8 0.6636 0.9798 0.2457  1 Bi 2.73, 1 Na 2.83
Cl9 0.7393 0.2124 0.5425  1 Bi 2.74, 1 Na 2.87
Cl10 0.7393 0.2876 0.0425  1 Bi 2.74, 1 Na 2.87
Cl11 0.8327 0.6996 0.5422  1 Bi 2.74, 1 Na 2.87
Cl12 0.8327 0.8004 0.0422  1 Bi 2.74, 1 Na 2.87

Computed properties:
The calculated density is 3.2 g cm⁻³. As for the space group: P2_1/c (14). Its energy above the most stable polymorph in this dataset is 0.0 kJ per mole of atoms. The calculation puts the uncorrected formation energy at -1534.3 kJ/mol of formula units. The value obtained for the total energy is -3.41 eV per atom.

=====

# 7
The following is a GGA-PBE calculation of an optimized crystal structure of Pm4Ge5Pt2, from Alexandria.

Unit cell a=7.1546 b=4.1841 c=8.4899 alpha=90.00 beta=91.48 gamma=90.00
Last column: nearest neighbours and their distance in Å.
Fractional coordinates of all 11 atoms:
Pm1 0.2340 0.0000 0.1295  8 Ge 3.05-3.24, 2 Pt 3.10
Pm2 0.2458 0.0000 0.6162  6 Ge 3.09-3.42, 4 Pt 3.16-3.19
Pm3 0.7542 0.0000 0.3838  6 Ge 3.09-3.42, 4 Pt 3.16-3.19
Pm4 0.7660 0.0000 0.8705  8 Ge 3.05-3.24, 2 Pt 3.10
Ge1 0.1118 0.5000 0.8812  1 Pt 2.52, 1 Ge 2.61
Ge2 0.4385 0.5000 0.3469  1 Pt 2.50, 1 Ge 2.72
Ge3 0.5000 0.5000 0.0000  4 Ge 2.93-2.99, 4 Pm 3.05
Ge4 0.5615 0.5000 0.6531  1 Pt 2.50, 1 Ge 2.72
Ge5 0.8882 0.5000 0.1188  1 Pt 2.52, 1 Ge 2.61
Pt1 0.0899 0.5000 0.3662  2 Ge 2.50-2.52, 1 Pt 2.64
Pt2 0.9101 0.5000 0.6338  2 Ge 2.50-2.52, 1 Pt 2.64

Computed properties:
The calculated density is 8.7 g cm⁻³. As for the space group: P2/m (10). The calculation puts the formation energy at -0.85 eV/atom. The value obtained for the total energy is -5.77 eV per atom.

=====

# 8
The following is a GGA-PBE calculation of an optimized crystal structure of Tb3ZnN, from Alexandria.

Unit cell a=4.8013 b=4.8013 c=4.8013 alpha=90.00 beta=90.00 gamma=90.00
Last column: nearest neighbours and their distance in Å.
Fractional coordinates of all 5 atoms:
Tb1 0.0000 0.0000 0.5000  2 N 2.40
Tb2 0.0000 0.5000 0.0000  2 N 2.40
Tb3 0.5000 0.0000 0.0000  2 N 2.40
Zn1 0.5000 0.5000 0.5000  12 Tb 3.40
N1 0.0000 0.0000 0.0000  6 Tb 2.40

Computed properties:
The calculated density is 8.3 g cm⁻³. As for the space group: Pm-3m (221). The calculation puts the uncorrected formation energy at -371.7 kJ/mol of formula units. The value obtained for the total energy is -5.47 eV per atom.

=====

# 9
The following is a GGA-PBE calculation of an optimized crystal structure of HfTi4Mn5, from Alexandria.

Unit cell a=3.0332 b=3.0332 c=15.1490 alpha=90.00 beta=90.00 gamma=90.00
Last column: nearest neighbours and their distance in Å.
Fractional coordinates of all 10 atoms:
Hf1 0.0000 0.0000 0.0000  8 Mn 2.72, 4 Hf 3.03
Ti1 0.0000 0.0000 0.2057  8 Mn 2.58-2.62
Ti2 0.0000 0.0000 0.4024  8 Mn 2.61
Ti3 0.0000 0.0000 0.5976  8 Mn 2.61
Ti4 0.0000 0.0000 0.7943  8 Mn 2.58-2.62
Mn1 0.5000 0.5000 0.1106  4 Ti 2.58, 4 Hf 2.72
Mn2 0.5000 0.5000 0.3047  8 Ti 2.61-2.62
Mn3 0.5000 0.5000 0.5000  8 Ti 2.61
Mn4 0.5000 0.5000 0.6953  8 Ti 2.61-2.62
Mn5 0.5000 0.5000 0.8894  4 Ti 2.58, 4 Hf 2.72

Computed properties:
The calculated density is 7.7 g cm⁻³. As for the space group: P4/mmm (123). The calculation puts the formation energy at -0.21 eV/atom. The value obtained for the total energy is -8.94 eV per atom.

=====

# 10
The following is a GGA-PBE calculation of an optimized crystal structure of PaTaTiNb, from Alexandria.

Unit cell a=4.7847 b=4.7847 c=4.7847 alpha=60.00 beta=60.00 gamma=60.00
Last column: nearest neighbours and their distance in Å.
Fractional coordinates of all 4 atoms:
Pa1 0.0000 0.0000 0.0000  4 Ta 2.93, 4 Nb 2.93
Ta1 0.2500 0.2500 0.2500  4 Pa 2.93, 4 Ti 2.93
Ti1 0.5000 0.5000 0.5000  4 Ta 2.93, 4 Nb 2.93
Nb1 0.7500 0.7500 0.7500  4 Pa 2.93, 4 Ti 2.93

Computed properties:
The calculated density is 11.9 g cm⁻³. As for the space group: F-43m (216). Its energy above the most stable polymorph in this dataset is 0.0 kJ per mole of atoms. The calculation puts the formation energy at 0.02 eV/atom. The value obtained for the total energy is -9.81 eV per atom.

=====

# 11
The following is a GGA-PBE calculation of an optimized crystal structure of BeAg2SbS4, from Alexandria.

Unit cell a=6.7475 b=6.7475 c=6.7475 alpha=129.47 beta=129.47 gamma=74.26
Last column: nearest neighbours and their distance in Å.
Fractional coordinates of all 8 atoms:
Be1 0.0000 0.0000 0.0000  4 S 2.12
Ag1 0.2500 0.7500 0.5000  4 S 2.55
Ag2 0.5000 0.5000 0.0000  4 S 2.58
Sb1 0.7500 0.2500 0.5000  4 S 2.56
S1 0.1093 0.1073 0.4347  1 Be 2.12
S2 0.3255 0.8907 0.9980  1 Be 2.12
S3 0.6726 0.6745 0.5653  1 Be 2.12
S4 0.8927 0.3274 0.0020  1 Be 2.12

Computed properties:
The calculated density is 4.4 g cm⁻³. As for the space group: I-4 (82). The calculation puts the uncorrected formation energy at -208.0 kJ/mol of formula units. The value obtained for the total energy is -4.03 eV per atom.

=====

# 12
The following is a GGA-PBE calculation of an optimized crystal structure of CaCrPd, from Alexandria.

Unit cell a=5.1814 b=4.4473 c=10.1709 alpha=90.00 beta=90.00 gamma=90.00
Last column: nearest neighbours and their distance in Å.
Fractional coordinates of all 12 atoms:
Ca1 0.1172 0.2500 0.1288  2 Pd 2.70-2.72, 2 Cr 2.95
Ca2 0.3828 0.7500 0.6288  2 Pd 2.70-2.72, 2 Cr 2.95
Ca3 0.6172 0.2500 0.3712  2 Pd 2.70-2.72, 2 Cr 2.95
Ca4 0.8828 0.7500 0.8712  2 Pd 2.70-2.72, 2 Cr 2.95
Cr1 0.1166 0.7500 0.3191  3 Pd 2.58-2.66
Cr2 0.3834 0.2500 0.8191  3 Pd 2.58-2.66
Cr3 0.6166 0.7500 0.1809  3 Pd 2.58-2.66
Cr4 0.8834 0.2500 0.6809  3 Pd 2.58-2.66
Pd1 0.1151 0.2500 0.4479  3 Cr 2.58-2.66, 2 Ca 2.70-2.72, 2 Pd 2.74
Pd2 0.3849 0.7500 0.9479  3 Cr 2.58-2.66, 2 Ca 2.70-2.72, 2 Pd 2.74
Pd3 0.6151 0.2500 0.0521  3 Cr 2.58-2.66, 2 Ca 2.70-2.72, 2 Pd 2.74
Pd4 0.8849 0.7500 0.5521  3 Cr 2.58-2.66, 2 Ca 2.70-2.72, 2 Pd 2.74

Computed properties:
The calculated density is 5.6 g cm⁻³. As for the space group: Pnma (62). Its energy above the most stable polymorph in this dataset is 44.8 kJ per mole of atoms. The calculation puts the formation energy at 0.38 eV/atom. The value obtained for the total energy is -5.23 eV per atom.